VASP calculation (GGA-PBEsol) on crystalline B3SbPb at its relaxed geometry.

Formation energy (no corrections) in eV per atom: 1.94
Final energy in eV/atom: -3.98
Spin magnetization in μB per atom: 0.000

Unit cell a=4.5101 b=4.5101 c=4.5101 alpha=90.00 beta=90.00 gamma=90.00
Fractional positions:
Sb 0.0000 0.0000 0.0000
B 0.5000 0.0000 0.0000
B 0.0000 0.0000 0.5000
B 0.0000 0.5000 0.0000
Pb 0.5000 0.5000 0.5000

VASP calculation (GGA-PBEsol) on crystalline Cd43Pd8 at its relaxed geometry.

Final energy in eV/atom: -2.14
Spin magnetization in μB per atom: 0.000

Unit cell a=9.9181 b=9.9181 c=9.9181 alpha=90.11 beta=90.11 gamma=90.11
Fractional positions:
Cd 0.4961 0.4961 0.1396
Cd 0.5485 0.8071 0.8071
Cd 0.9550 0.3078 0.6953
Cd 0.3521 0.0032 0.0032
Cd 0.0493 0.6966 0.6966
Cd 0.8097 0.1951 0.4557
Cd 0.1908 0.5389 0.1908
Cd 0.1951 0.8097 0.4557
Cd 0.6047 0.3925 0.3925
Cd 0.6966 0.6966 0.0493
Cd 0.8071 0.5485 0.8071
Cd 0.3925 0.6047 0.3925
Cd 0.5005 0.5005 0.8563
Cd 0.6037 0.6037 0.6037
Cd 0.1080 0.9053 0.9053
Cd 0.2866 0.0530 0.2866
Cd 0.2866 0.2866 0.0530
Cd 0.8071 0.8071 0.5485
Cd 0.4557 0.8097 0.1951
Cd 0.3078 0.9550 0.6953
Cd 0.6451 0.0001 0.0001
Cd 0.1951 0.4557 0.8097
Cd 0.9053 0.1080 0.9053
Cd 0.1396 0.4961 0.4961
Cd 0.6953 0.9550 0.3078
Cd 0.3925 0.3925 0.6047
Cd 0.8563 0.5005 0.5005
Cd 0.6966 0.0493 0.6966
Cd 0.3078 0.6953 0.9550
Cd 0.4557 0.1951 0.8097
Cd 0.8097 0.4557 0.1951
Cd 0.9550 0.6953 0.3078
Cd 0.5005 0.8563 0.5005
Cd 0.1908 0.1908 0.5389
Cd 0.4961 0.1396 0.4961
Cd 0.0001 0.6451 0.0001
Cd 0.6953 0.3078 0.9550
Cd 0.0001 0.0001 0.6451
Cd 0.9053 0.9053 0.1080
Cd 0.5389 0.1908 0.1908
Cd 0.0032 0.3521 0.0032
Cd 0.0530 0.2866 0.2866
Cd 0.0032 0.0032 0.3521
Pd 0.6718 0.6718 0.3294
Pd 0.3286 0.3286 0.3286
Pd 0.8322 0.8322 0.8322
Pd 0.1736 0.1736 0.8200
Pd 0.3294 0.6718 0.6718
Pd 0.1736 0.8200 0.1736
Pd 0.6718 0.3294 0.6718
Pd 0.8200 0.1736 0.1736

VASP calculation (GGA-PBEsol) on crystalline Nd2Zr2O7 at its relaxed geometry.

Formation energy (no corrections) in eV per atom: -3.49
Final energy in eV/atom: -9.42
Spin magnetization in μB per atom: 0.000

Unit cell a=7.5231 b=7.5231 c=7.5231 alpha=60.00 beta=60.00 gamma=60.00
Fractional positions:
O 0.7894 0.2106 0.7894
O 0.5000 0.5000 0.5000
O 0.4606 0.0394 0.4606
O 0.0394 0.0394 0.4606
O 0.0394 0.4606 0.4606
O 0.0394 0.4606 0.0394
O 0.7894 0.2106 0.2106
O 0.2106 0.7894 0.7894
O 0.4606 0.4606 0.0394
O 0.7500 0.7500 0.7500
O 0.7894 0.7894 0.2106
O 0.2106 0.7894 0.2106
O 0.4606 0.0394 0.0394
O 0.2106 0.2106 0.7894
Nd 0.6250 0.6250 0.6250
Nd 0.6250 0.1250 0.6250
Nd 0.1250 0.6250 0.6250
Nd 0.6250 0.6250 0.1250
Zr 0.1250 0.1250 0.6250
Zr 0.1250 0.1250 0.1250
Zr 0.1250 0.6250 0.1250
Zr 0.6250 0.1250 0.1250

VASP calculation (GGA-PBEsol) on crystalline Cr3IrN at its relaxed geometry.

Formation energy (no corrections) in eV per atom: -0.39
Final energy in eV/atom: -10.20
Spin magnetization in μB per atom: 0.004

Unit cell a=3.7693 b=3.7693 c=3.7693 alpha=90.00 beta=90.00 gamma=90.00
Fractional positions:
Ir 0.5000 0.5000 0.5000
N 0.0000 0.0000 0.0000
Cr 0.5000 0.0000 0.0000
Cr 0.0000 0.5000 0.0000
Cr 0.0000 0.0000 0.5000